No. 1
## ZnRe7 (PBE-GGA)

Data for an optimized crystal structure of ZnRe7.

Geometry as POSCAR:
```
ZnRe7
1.0
0.0000 3.9097 3.9097
3.9097 0.0000 3.9097
3.9097 3.9097 0.0000
Zn Re
1 7
Cartesian
0.0000 0.0000 0.0000 Zn
1.9549 1.9549 0.0000 Re
1.9549 0.0000 1.9549 Re
3.9097 1.9549 1.9549 Re
0.0000 1.9549 1.9549 Re
1.9549 3.9097 1.9549 Re
1.9549 1.9549 3.9097 Re
3.9097 3.9097 3.9097 Re
```

total magnetic moment: 0.0 μB per cell
energy of formation from the pure elements: 0.256 eV/atom

***

No. 2
## ZnRe (PBE-GGA)

Data for an optimized crystal structure of ZnRe.

Geometry as POSCAR:
```
ZnRe
1.0
-2.1758 2.1758 3.0584
2.1758 -2.1758 3.0584
2.1758 2.1758 -3.0584
Zn Re
2 2
Cartesian
2.1758 1.0879 0.7646 Zn
0.0000 1.0879 2.2938 Zn
2.1758 -1.0879 2.2938 Re
0.0000 3.2637 0.7646 Re
```

total magnetic moment: 0.0 μB per cell
energy of formation from the pure elements: 0.202 eV/atom
polymorph energy (0 for the lowest one): 36 kJ/mol of formula units

***

No. 3
## Zn5Re3 (PBE-GGA)

Data for an optimized crystal structure of Zn5Re3.

Geometry as POSCAR:
```
Zn5Re3
1.0
7.7447 0.0000 0.0000
-3.8724 6.7071 0.0000
0.0000 0.0000 4.6664
Zn Re
10 6
Cartesian
-0.8343 1.4451 1.1666 Zn
-3.0380 5.2620 3.4998 Zn
1.6687 0.0000 1.1666 Zn
0.8343 1.4451 3.4998 Zn
0.0000 4.4714 0.0000 Zn
0.0000 4.4714 2.3332 Zn
3.8724 2.2357 0.0000 Zn
3.8724 2.2357 2.3332 Zn
6.0761 0.0000 3.4998 Zn
3.0380 5.2620 1.1666 Zn
-1.6211 2.8078 3.4998 Re
-2.2513 3.8994 1.1666 Re
3.2421 0.0000 3.4998 Re
1.6211 2.8078 1.1666 Re
4.5026 0.0000 1.1666 Re
2.2513 3.8994 3.4998 Re
```

total magnetic moment: 0.0 μB per cell
energy of formation from the pure elements: 0.446 eV/atom